Crystalline La2CrTe at its relaxed geometry. Source: Alexandria via LeMat-Bulk, functional PBE-GGA.

Results
Size of the total moment: 3.36 μB per formula unit
SG: No. 123
Formation energy from raw total energies: -0.404 eV per atom
Electronic total energy: -0.223 hartree per atom

Cell and atoms, written as POSCAR:
```
La2CrTe
1.0
3.984 0.000 0.000
0.000 3.975 0.185
0.000 3.626 7.582
Cr La Te
1 2 1
Direct
0.500 0.750 0.750
0.000 0.006 0.994
0.000 0.494 0.506
0.500 0.250 0.250
```



Crystalline La4CrTe at its relaxed geometry. Source: Alexandria via LeMat-Bulk, functional PBE-GGA.

Results
Size of the total moment: 5.16 μB per formula unit
SG: No. 216
Formation energy from raw total energies: 0.312 eV per atom
Electronic total energy: -0.187 hartree per atom

Cell and atoms, written as POSCAR:
```
La4CrTe
1.0
-5.582 -3.136 -0.895
-3.741 -1.452 5.069
-5.616 3.085 0.862
La Cr Te
4 1 1
Direct
0.875 0.375 0.375
0.375 0.375 0.875
0.375 0.875 0.375
0.375 0.375 0.375
0.000 0.000 0.000
0.750 0.750 0.750
```



Crystalline LaCr4Te at its relaxed geometry. Source: Alexandria via LeMat-Bulk, functional PBE-GGA.

Results
Size of the total moment: 0.00 μB per formula unit
SG: No. 216
Formation energy from raw total energies: 0.550 eV per atom
Electronic total energy: -0.265 hartree per atom

Cell and atoms, written as POSCAR:
```
LaCr4Te
1.0
-4.523 -1.764 1.872
-4.471 2.191 -1.509
-3.259 -2.611 -3.104
La Cr Te
1 4 1
Direct
0.750 0.750 0.750
0.883 0.372 0.372
0.372 0.372 0.883
0.372 0.883 0.372
0.372 0.372 0.372
0.000 0.000 0.000
```



Crystalline LaCr3Te at its relaxed geometry. Source: Alexandria via LeMat-Bulk, functional PBE-GGA.

Results
Size of the total moment: 0.00 μB per formula unit
SG: No. 221
Formation energy from raw total energies: 2.034 eV per atom
Polymorph energy (0 for the lowest one): 1.140 eV per atom
Electronic total energy: -0.197 hartree per atom

Cell and atoms, written as POSCAR:
```
LaCr3Te
1.0
-2.952 -2.137 -2.840
3.285 -0.232 -3.240
1.356 -4.089 1.668
Cr Te La
3 1 1
Direct
0.000 0.500 0.000
0.000 0.000 0.500
0.500 0.000 0.000
0.500 0.500 0.500
0.000 0.000 0.000
```



Crystalline La2CrTe at its relaxed geometry. Source: Alexandria via LeMat-Bulk, functional PBE-GGA.

Results
Size of the total moment: 4.13 μB per formula unit
SG: No. 139
Formation energy from raw total energies: -0.270 eV per atom
Electronic total energy: -0.218 hartree per atom

Cell and atoms, written as POSCAR:
```
La2CrTe
1.0
-3.424 0.016 4.597
-3.318 -4.566 -0.999
5.729 0.175 -0.035
Cr La Te
1 2 1
Direct
0.750 0.250 0.500
0.000 0.000 0.000
0.500 0.500 0.000
0.250 0.750 0.500
```



Crystalline La2Cr2Te at its relaxed geometry. Source: Alexandria via LeMat-Bulk, functional PBE-GGA.

Results
Size of the total moment: 0.00 μB per formula unit
SG: No. 127
Formation energy from raw total energies: -0.036 eV per atom
Electronic total energy: -0.238 hartree per atom

Cell and atoms, written as POSCAR:
```
La2Cr2Te
1.0
-5.912 -4.359 0.255
4.319 -5.774 1.423
-0.387 0.779 4.338
Cr Te La
4 2 4
Direct
0.409 0.909 0.000
0.909 0.591 0.000
0.591 0.091 0.000
0.091 0.409 0.000
0.000 0.000 0.000
0.500 0.500 0.000
0.189 0.689 0.500
0.689 0.811 0.500
0.811 0.311 0.500
0.311 0.189 0.500
```